Record 1
VASP calculation (GGA-PBE) on a geometry-optimized NaPrNi structure.

The structure in POSCAR format:
```
NaPrNi
1.0
-0.602 2.444 3.112
1.202 -2.766 2.405
9.550 5.020 -2.087
Pr Ni Na
2 2 2
direct
0.847 0.569 0.560
0.347 0.421 0.263
0.847 0.963 0.347
0.347 0.028 0.477
0.348 0.191 0.804
0.847 0.798 0.020
```

- E_form (eV/atom) = -0.138
- spin magnetization (μB per formula unit) = 0.0
- calculated volume (Å³/cell) = 167.0
- energy above the most stable polymorph in this dataset (meV/atom) = 0

Record 2
VASP calculation (GGA-PBE) on a geometry-optimized SrTi2Cu2 structure.

The structure in POSCAR format:
```
SrTi2Cu2
1.0
-4.251 -4.901 -4.693
-3.537 -3.126 6.468
-2.112 2.008 -0.184
Cu Ti Sr
4 4 2
direct
0.629 0.129 0.000
0.371 0.871 0.000
0.871 0.629 0.000
0.129 0.371 0.000
0.154 0.654 0.500
0.346 0.154 0.500
0.654 0.846 0.500
0.846 0.346 0.500
0.000 0.000 0.000
0.500 0.500 0.000
```

- E_form (eV/atom) = 0.363
- spin magnetization (μB per formula unit) = 0.0
- calculated volume (Å³/cell) = 187.2
- energy above the most stable polymorph in this dataset (meV/atom) = 113

Which value of spin magnetization does entry 1 give? 0.0 μB per formula unit

Repeat the first record exactly.
VASP calculation (GGA-PBE) on a geometry-optimized NaPrNi structure.

The structure in POSCAR format:
```
NaPrNi
1.0
-0.602 2.444 3.112
1.202 -2.766 2.405
9.550 5.020 -2.087
Pr Ni Na
2 2 2
direct
0.847 0.569 0.560
0.347 0.421 0.263
0.847 0.963 0.347
0.347 0.028 0.477
0.348 0.191 0.804
0.847 0.798 0.020
```

- E_form (eV/atom) = -0.138
- spin magnetization (μB per formula unit) = 0.0
- calculated volume (Å³/cell) = 167.0
- energy above the most stable polymorph in this dataset (meV/atom) = 0

Copy entry 2 word for word.
VASP calculation (GGA-PBE) on a geometry-optimized SrTi2Cu2 structure.

The structure in POSCAR format:
```
SrTi2Cu2
1.0
-4.251 -4.901 -4.693
-3.537 -3.126 6.468
-2.112 2.008 -0.184
Cu Ti Sr
4 4 2
direct
0.629 0.129 0.000
0.371 0.871 0.000
0.871 0.629 0.000
0.129 0.371 0.000
0.154 0.654 0.500
0.346 0.154 0.500
0.654 0.846 0.500
0.846 0.346 0.500
0.000 0.000 0.000
0.500 0.500 0.000
```

- E_form (eV/atom) = 0.363
- spin magnetization (μB per formula unit) = 0.0
- calculated volume (Å³/cell) = 187.2
- energy above the most stable polymorph in this dataset (meV/atom) = 113